[1]
Material: TbPd4Au5
Method: DFT, PBE
State: relaxed

The structure in POSCAR format:
```
TbPd4Au5
1.0
-3.745 -2.450 1.408
3.448 -4.268 1.743
1.381 5.138 4.798
Tb Pd Au
1 4 5
direct
0.500 0.000 0.000
0.707 0.326 0.415
0.104 0.846 0.207
0.293 0.674 0.585
0.896 0.154 0.793
0.291 0.175 0.581
0.099 0.352 0.198
0.901 0.648 0.802
0.500 0.500 0.000
0.709 0.825 0.419
```

Output
As for the energy: -4.54 eV per atom.

---

[2]
Material: ErAgSeO
Method: DFT, PBE
State: relaxed

The structure in POSCAR format:
```
ErAgSeO
1.0
3.972 0.000 0.000
1.986 3.440 0.000
1.986 1.147 10.941
Er Ag Se O
2 2 2 2
direct
0.625 0.625 0.125
0.375 0.375 0.875
0.808 0.808 0.576
0.192 0.192 0.424
0.099 0.099 0.702
0.901 0.901 0.298
0.692 0.692 0.923
0.308 0.308 0.077
```

Output
Its uncorrected formation energy is -1.885 eV/atom.

---

[3]
Material: BeTc2Te
Method: DFT, PBE
State: relaxed

The structure in POSCAR format:
```
BeTc2Te
1.0
5.015 0.012 -0.001
-1.855 4.659 -0.001
0.761 1.125 2.672
Be Te Tc
1 1 2
direct
0.000 0.500 0.500
0.500 0.000 0.500
0.000 0.000 0.000
0.500 0.500 0.000
```

Output
Its uncorrected formation energy is 0.603 eV/atom.

---

Listing Fermi-level density of states for the structures above in their given order: 3.03, 0.09, 3.57 states/eV/cell.